# PBE-GGA BeNb2Os, relaxed
# * E_tot: -8.71 eV/atom
data_BeNb2Os
_space_group_name_H-M_alt 'F -4 3 m'
_space_group_IT_number 216
_space_group_name_Hall 'F -4 2 3'
_cell_length_a 6.2207
_cell_length_b 6.2207
_cell_length_c 6.2207
_cell_angle_alpha 90.00
_cell_angle_beta 90.00
_cell_angle_gamma 90.00
loop_
_atom_site_label
_atom_site_fract_x
_atom_site_fract_y
_atom_site_fract_z
Be1 0.0000 0.0000 0.0000
Nb1 0.0000 0.0000 0.5000
Nb2 0.2500 0.2500 0.7500
Os1 0.2500 0.2500 0.2500



# PBE-GGA Dy3YTm2Bi2Os, relaxed
# * E_tot: -5.96 eV/atom
data_Dy3YTm2Bi2Os
_space_group_name_H-M_alt 'A m m 2'
_space_group_IT_number 38
_space_group_name_Hall 'A 2 -2'
_cell_length_a 4.2372
_cell_length_b 14.3288
_cell_length_c 8.2444
_cell_angle_alpha 90.00
_cell_angle_beta 90.00
_cell_angle_gamma 90.00
loop_
_atom_site_label
_atom_site_fract_x
_atom_site_fract_y
_atom_site_fract_z
Dy1 0.0000 0.0000 0.0000
Dy2 0.0000 0.1941 0.5786
Y1 0.5000 0.0000 0.6197
Tm1 0.5000 0.1159 0.2693
Bi1 0.5000 0.1675 0.8862
Os1 0.0000 0.0000 0.3806



# PBE-GGA ThB4Os, relaxed
# * E_tot: -7.47 eV/atom
data_ThB4Os
_space_group_name_H-M_alt 'I m m m'
_space_group_IT_number 71
_space_group_name_Hall '-I 2 2'
_cell_length_a 3.1654
_cell_length_b 5.3005
_cell_length_c 8.0762
_cell_angle_alpha 90.00
_cell_angle_beta 90.00
_cell_angle_gamma 90.00
loop_
_atom_site_label
_atom_site_fract_x
_atom_site_fract_y
_atom_site_fract_z
Th1 0.0000 0.0000 0.0000
B1 0.0000 0.3283 0.2533
Os1 0.0000 0.0000 0.5000



# PBE-GGA AsOsPtO, relaxed
# * E_tot: -6.92 eV/atom
data_AsOsPtO
_space_group_name_H-M_alt 'P m c 21'
_space_group_IT_number 26
_space_group_name_Hall 'P 2c -2'
_cell_length_a 3.7607
_cell_length_b 6.2276
_cell_length_c 5.3268
_cell_angle_alpha 90.00
_cell_angle_beta 90.00
_cell_angle_gamma 90.00
loop_
_atom_site_label
_atom_site_fract_x
_atom_site_fract_y
_atom_site_fract_z
As1 0.0000 0.2324 0.0000
Os1 0.0000 0.3697 0.5461
Pt1 0.5000 0.0040 0.5267
O1 0.5000 0.3765 0.5391



# PBE-GGA YHfMo, relaxed
# * E_tot: -8.93 eV/atom
data_YHfMo
_space_group_name_H-M_alt 'P n m a'
_space_group_IT_number 62
_space_group_name_Hall '-P 2ac 2n'
_cell_length_a 7.6793
_cell_length_b 3.9804
_cell_length_c 8.9275
_cell_angle_alpha 90.00
_cell_angle_beta 90.00
_cell_angle_gamma 90.00
loop_
_atom_site_label
_atom_site_fract_x
_atom_site_fract_y
_atom_site_fract_z
Y1 0.0221 0.2500 0.1641
Hf1 0.1423 0.2500 0.5537
Mo1 0.2189 0.7500 0.3504



# PBE-GGA Y2Co2SiGeC, relaxed
# * E_tot: -7.29 eV/atom
data_Y2Co2SiGeC
_space_group_name_H-M_alt 'C 1 m 1'
_space_group_IT_number 8
_space_group_name_Hall 'C -2y'
_cell_length_a 10.6492
_cell_length_b 3.9047
_cell_length_c 6.8234
_cell_angle_alpha 90.00
_cell_angle_beta 128.99
_cell_angle_gamma 90.00
loop_
_atom_site_label
_atom_site_fract_x
_atom_site_fract_y
_atom_site_fract_z
Y1 0.0000 0.0000 0.0000
Y2 0.1235 0.0000 0.5917
Co1 0.2602 0.5000 0.3877
Co2 0.3711 0.0000 0.2210
Si1 0.3982 0.0000 0.5873
Ge1 0.2196 0.5000 0.9967
C1 0.0638 0.5000 0.2999



# PBE-GGA CoSiBi2, relaxed
# * E_tot: -4.35 eV/atom
data_CoSiBi2
_space_group_name_H-M_alt 'F -4 3 m'
_space_group_IT_number 216
_space_group_name_Hall 'F -4 2 3'
_cell_length_a 7.0544
_cell_length_b 7.0544
_cell_length_c 7.0544
_cell_angle_alpha 90.00
_cell_angle_beta 90.00
_cell_angle_gamma 90.00
loop_
_atom_site_label
_atom_site_fract_x
_atom_site_fract_y
_atom_site_fract_z
Co1 0.0000 0.0000 0.0000
Si1 0.2500 0.2500 0.7500
Bi1 0.0000 0.0000 0.5000
Bi2 0.2500 0.2500 0.2500



# PBE-GGA UGeB, relaxed
# * E_tot: -6.47 eV/atom
data_UGeB
_space_group_name_H-M_alt 'F -4 3 m'
_space_group_IT_number 216
_space_group_name_Hall 'F -4 2 3'
_cell_length_a 6.0634
_cell_length_b 6.0634
_cell_length_c 6.0634
_cell_angle_alpha 90.00
_cell_angle_beta 90.00
_cell_angle_gamma 90.00
loop_
_atom_site_label
_atom_site_fract_x
_atom_site_fract_y
_atom_site_fract_z
U1 0.0000 0.0000 0.0000
Ge1 0.2500 0.2500 0.7500
B1 0.0000 0.0000 0.5000



# PBE-GGA BPt, relaxed
# * E_tot: -6.55 eV/atom
data_BPt
_space_group_name_H-M_alt 'I 4/m m m'
_space_group_IT_number 139
_space_group_name_Hall '-I 4 2'
_cell_length_a 3.8345
_cell_length_b 3.8345
_cell_length_c 7.5579
_cell_angle_alpha 90.00
_cell_angle_beta 90.00
_cell_angle_gamma 90.00
loop_
_atom_site_label
_atom_site_fract_x
_atom_site_fract_y
_atom_site_fract_z
B1 0.0000 0.0000 0.1129
Pt1 0.0000 0.5000 0.2500



# PBE-GGA Na4TlHg2Pb, relaxed
# * E_tot: -1.68 eV/atom
data_Na4TlHg2Pb
_space_group_name_H-M_alt 'P -4 m 2'
_space_group_IT_number 115
_space_group_name_Hall 'P -4 -2'
_cell_length_a 5.2300
_cell_length_b 5.2300
_cell_length_c 7.4309
_cell_angle_alpha 90.00
_cell_angle_beta 90.00
_cell_angle_gamma 90.00
loop_
_atom_site_label
_atom_site_fract_x
_atom_site_fract_y
_atom_site_fract_z
Na1 0.0000 0.0000 0.0000
Na2 0.0000 0.5000 0.2488
Na3 0.5000 0.5000 0.5000
Tl1 0.5000 0.5000 0.0000
Hg1 0.0000 0.5000 0.7517
Pb1 0.0000 0.0000 0.5000



# PBE-GGA ReAgPO, relaxed
# * E_tot: -6.77 eV/atom
data_ReAgPO
_space_group_name_H-M_alt 'P m c 21'
_space_group_IT_number 26
_space_group_name_Hall 'P 2c -2'
_cell_length_a 2.9432
_cell_length_b 6.9980
_cell_length_c 5.7484
_cell_angle_alpha 90.00
_cell_angle_beta 90.00
_cell_angle_gamma 90.00
loop_
_atom_site_label
_atom_site_fract_x
_atom_site_fract_y
_atom_site_fract_z
Re1 0.0000 0.0007 0.0000
Ag1 0.5000 0.4665 0.2708
P1 0.5000 0.1914 0.7495
O1 0.0000 0.2049 0.2508



# PBE-GGA Hf4BiPN2, relaxed
# * E_tot: -9.36 eV/atom
data_Hf4BiPN2
_space_group_name_H-M_alt 'P -6 m 2'
_space_group_IT_number 187
_space_group_name_Hall 'P -6 2'
_cell_length_a 3.3858
_cell_length_b 3.3858
_cell_length_c 12.9563
_cell_angle_alpha 90.00
_cell_angle_beta 90.00
_cell_angle_gamma 120.00
loop_
_atom_site_label
_atom_site_fract_x
_atom_site_fract_y
_atom_site_fract_z
Hf1 0.0000 0.0000 0.1352
Hf2 0.6667 0.3333 0.3180
Bi1 0.0000 0.0000 0.5000
P1 0.6667 0.3333 0.0000
N1 0.3333 0.6667 0.2287



# PBE-GGA BeCuSbIr, relaxed
# * E_tot: -4.96 eV/atom
data_BeCuSbIr
_space_group_name_H-M_alt 'F -4 3 m'
_space_group_IT_number 216
_space_group_name_Hall 'F -4 2 3'
_cell_length_a 6.1614
_cell_length_b 6.1614
_cell_length_c 6.1614
_cell_angle_alpha 90.00
_cell_angle_beta 90.00
_cell_angle_gamma 90.00
loop_
_atom_site_label
_atom_site_fract_x
_atom_site_fract_y
_atom_site_fract_z
Be1 0.0000 0.0000 0.0000
Cu1 0.2500 0.2500 0.7500
Sb1 0.0000 0.0000 0.5000
Ir1 0.2500 0.2500 0.2500



# PBE-GGA Li3TaSe2S2, relaxed
# * E_tot: -5.22 eV/atom
data_Li3TaSe2S2
_space_group_name_H-M_alt 'C m m 2'
_space_group_IT_number 35
_space_group_name_Hall 'C 2 -2'
_cell_length_a 8.5579
_cell_length_b 8.6485
_cell_length_c 6.0875
_cell_angle_alpha 90.00
_cell_angle_beta 90.00
_cell_angle_gamma 90.00
loop_
_atom_site_label
_atom_site_fract_x
_atom_site_fract_y
_atom_site_fract_z
Li1 0.0000 0.0000 0.0000
Li2 0.2500 0.2500 0.5171
Ta1 0.0000 0.0000 0.5039
Se1 0.2314 0.0000 0.2764
S1 0.0000 0.2140 0.7230



# PBE-GGA TlPd17, relaxed
# * E_tot: -4.98 eV/atom
data_TlPd17
_space_group_name_H-M_alt 'P 1 21/m 1'
_space_group_IT_number 11
_space_group_name_Hall '-P 2yb'
_cell_length_a 4.7915
_cell_length_b 5.5464
_cell_length_c 31.8574
_cell_angle_alpha 90.00
_cell_angle_beta 90.12
_cell_angle_gamma 90.00
loop_
_atom_site_label
_atom_site_fract_x
_atom_site_fract_y
_atom_site_fract_z
Tl1 0.1661 0.2500 0.2993
Pd1 0.0000 0.0000 0.0000
Pd2 0.0005 0.5017 0.7859
Pd3 0.1660 0.2500 0.0711
Pd4 0.1675 0.2500 0.8581
Pd5 0.1669 0.7500 0.0711
Pd6 0.1669 0.7500 0.8575
Pd7 0.1678 0.7500 0.2854
Pd8 0.3323 0.0006 0.1424
Pd9 0.3334 0.0035 0.7145
Pd10 0.3338 0.9998 0.9290
Pd11 0.4958 0.2500 0.2145
Pd12 0.4989 0.2500 0.7868
Pd13 0.5000 0.2500 0.0001



# PBE-GGA NaZnAsPt, relaxed
# * E_tot: -3.54 eV/atom
data_NaZnAsPt
_space_group_name_H-M_alt 'F -4 3 m'
_space_group_IT_number 216
_space_group_name_Hall 'F -4 2 3'
_cell_length_a 6.4132
_cell_length_b 6.4132
_cell_length_c 6.4132
_cell_angle_alpha 90.00
_cell_angle_beta 90.00
_cell_angle_gamma 90.00
loop_
_atom_site_label
_atom_site_fract_x
_atom_site_fract_y
_atom_site_fract_z
Na1 0.0000 0.0000 0.0000
Zn1 0.2500 0.2500 0.7500
As1 0.2500 0.2500 0.2500
Pt1 0.0000 0.0000 0.5000



# PBE-GGA DyFePd, relaxed
# * E_tot: -6.03 eV/atom
data_DyFePd
_space_group_name_H-M_alt 'F -4 3 m'
_space_group_IT_number 216
_space_group_name_Hall 'F -4 2 3'
_cell_length_a 6.2813
_cell_length_b 6.2813
_cell_length_c 6.2813
_cell_angle_alpha 90.00
_cell_angle_beta 90.00
_cell_angle_gamma 90.00
loop_
_atom_site_label
_atom_site_fract_x
_atom_site_fract_y
_atom_site_fract_z
Dy1 0.0000 0.0000 0.0000
Fe1 0.0000 0.0000 0.5000
Pd1 0.2500 0.2500 0.2500



# PBE-GGA CsNiP2Os, relaxed
# * E_tot: -6.20 eV/atom
data_CsNiP2Os
_space_group_name_H-M_alt 'I -4 m 2'
_space_group_IT_number 119
_space_group_name_Hall 'I -4 -2'
_cell_length_a 3.8364
_cell_length_b 3.8364
_cell_length_c 14.6554
_cell_angle_alpha 90.00
_cell_angle_beta 90.00
_cell_angle_gamma 90.00
loop_
_atom_site_label
_atom_site_fract_x
_atom_site_fract_y
_atom_site_fract_z
Cs1 0.0000 0.0000 0.0000
Ni1 0.0000 0.5000 0.2500
P1 0.0000 0.0000 0.3373
Os1 0.0000 0.5000 0.7500



# PBE-GGA ScTa2Al, relaxed
# * E_tot: -8.48 eV/atom
data_ScTa2Al
_space_group_name_H-M_alt 'F -4 3 m'
_space_group_IT_number 216
_space_group_name_Hall 'F -4 2 3'
_cell_length_a 6.6552
_cell_length_b 6.6552
_cell_length_c 6.6552
_cell_angle_alpha 90.00
_cell_angle_beta 90.00
_cell_angle_gamma 90.00
loop_
_atom_site_label
_atom_site_fract_x
_atom_site_fract_y
_atom_site_fract_z
Sc1 0.0000 0.0000 0.0000
Ta1 0.0000 0.0000 0.5000
Ta2 0.2500 0.2500 0.2500
Al1 0.2500 0.2500 0.7500



# PBE-GGA NdHo, relaxed
# * E_tot: -3.98 eV/atom
data_NdHo
_space_group_name_H-M_alt 'F m -3 m'
_space_group_IT_number 225
_space_group_name_Hall '-F 4 2 3'
_cell_length_a 6.4764
_cell_length_b 6.4764
_cell_length_c 6.4764
_cell_angle_alpha 90.00
_cell_angle_beta 90.00
_cell_angle_gamma 90.00
loop_
_atom_site_label
_atom_site_fract_x
_atom_site_fract_y
_atom_site_fract_z
Nd1 0.0000 0.0000 0.0000
Ho1 0.0000 0.0000 0.5000